Crystalline CaGdPt at its relaxed geometry, computed with GGA-PBE.

The structure in extended XYZ format:
```
3
Lattice="-4.291 -3.226 3.636 1.257 -3.564 -1.680 1.826 1.430 3.424" Properties=species:S:1:pos:R:3 pbc="T T T"
Ca -1.795 -4.336 2.768
Gd 0.640 -0.984 2.567
Pt -0.054 -0.040 0.046
```

## Properties
crystal system	trigonal
energy relative to the elements	-709.3	meV per atom